Record 1
3
Lattice="4.904 0.000 0.000 2.452 4.247 0.000 2.452 1.416 4.004" Properties=species:S:1:pos:R:3 comment="Tl2Zn | Alexandria via LeMat-Bulk | PBE | relaxed" space_group=Fm-3m vol_a3_per_atom=27.8 ef_ev_per_atom=0.139 dos_at_fermi_per_ev_cell=1.6 e_above_lowest_polymorph_ev_per_atom=0.0623 pbc="T T T"
Tl 2.452 1.416 1.001
Tl 7.356 4.247 3.003
Zn 0.000 0.000 0.000

---

Record 2
4
Lattice="5.923 0.000 0.000 2.961 5.129 0.000 2.961 1.710 4.836" Properties=species:S:1:pos:R:3 comment="SrCaNdMg | Alexandria via LeMat-Bulk | PBE | relaxed" space_group=F-43m vol_a3_per_atom=36.7 ef_ev_per_atom=0.085 dos_at_fermi_per_ev_cell=6.4 pbc="T T T"
Sr 8.884 5.129 3.627
Ca 5.923 3.420 2.418
Nd 2.961 1.710 1.209
Mg 0.000 0.000 0.000

---

Record 3
6
Lattice="3.159 0.000 0.000 -1.580 2.736 0.000 0.000 0.000 12.801" Properties=species:S:1:pos:R:3 comment="TaTcSn | Alexandria via LeMat-Bulk | PBE | relaxed" space_group=P-6m2 vol_a3_per_atom=18.4 ef_ev_per_atom=0.137 dos_at_fermi_per_ev_cell=5.6 pbc="T T T"
Tc 1.580 0.607 0.000
Tc 0.000 1.522 6.401
Ta 1.580 0.609 4.426
Ta 1.580 0.609 8.375
Sn 0.000 1.519 10.757
Sn 0.000 1.519 2.044

---

Record 4
4
Lattice="-6.187 -3.239 -6.054 -6.298 -5.384 -4.094 -7.911 -2.993 -3.725" Properties=species:S:1:pos:R:3 comment="CoPt2Br | Alexandria via LeMat-Bulk | PBE | relaxed" e_form_raw_ev_per_atom=0.37 space_group=R3m vol_a3_per_atom=16.6 dos_at_fermi_per_ev_cell=5.6 e_above_lowest_polymorph_ev_per_atom=0.0760 pbc="T T T"
Br -9.851 -5.610 -6.700
Co -15.262 -8.691 -10.380
Pt -0.192 -0.109 -0.130
Pt -5.291 -3.013 -3.598

---

Record 5
5
Lattice="3.830 0.000 0.000 0.000 3.830 0.000 0.000 0.000 4.036" Properties=species:S:1:pos:R:3 comment="ReIrNO2 | Alexandria via LeMat-Bulk | PBE | relaxed" e_form_raw_ev_per_atom=0.46 space_group=P4/mmm vol_a3_per_atom=11.8 dos_at_fermi_per_ev_cell=4.4 pbc="T T T"
Re 0.000 0.000 0.000
Ir 1.915 1.915 2.018
O 0.000 1.915 0.000
O 1.915 0.000 0.000
N 0.000 0.000 2.018

---

Record 6
4
Lattice="3.614 0.000 0.000 1.807 3.130 0.000 1.807 1.043 6.406" Properties=species:S:1:pos:R:3 comment="Th2CO | Alexandria via LeMat-Bulk | PBE | relaxed" e_form_raw_ev_per_atom=-1.47 space_group=R3m vol_a3_per_atom=18.1 dos_at_fermi_per_ev_cell=1.3 e_above_lowest_polymorph_ev_per_atom=0.1533 pbc="T T T"
Th 1.807 1.043 4.922
Th 1.807 1.043 1.483
C 5.421 3.130 6.381
O 3.614 2.086 3.230

---

Record 7
13
Lattice="7.512 0.000 -0.530 0.000 5.482 0.000 -3.243 -2.741 5.534" Properties=species:S:1:pos:R:3 comment="Be3Ag2Au8 | Alexandria via LeMat-Bulk | PBE | relaxed" space_group=C2/m vol_a3_per_atom=16.8 ef_ev_per_atom=-0.015 dos_at_fermi_per_ev_cell=4.3 pbc="T T T"
Be 3.756 0.000 -0.265
Be 0.000 1.526 0.000
Be 0.000 3.955 0.000
Ag -0.533 0.000 4.036
Ag 4.802 2.741 0.968
Au 0.019 2.741 2.077
Au 4.250 0.000 2.927
Au 6.227 0.000 0.807
Au -1.958 2.741 4.197
Au 1.963 1.383 3.946
Au 1.963 -1.383 3.946
Au 2.306 4.124 1.058
Au 2.306 1.357 1.058

---

Record 8
10
Lattice="6.334 0.000 0.000 0.000 6.587 0.000 0.000 -3.293 5.704" Properties=species:S:1:pos:R:3 comment="Cs2BaH6Os | Alexandria via LeMat-Bulk | PBE | relaxed" space_group=P-3m1 vol_a3_per_atom=23.8 dos_at_fermi_per_ev_cell=1.7 e_tot_ev_per_atom=-3.73 pbc="T T T"
Cs 0.779 0.000 3.803
Cs 5.556 3.293 1.901
Ba 3.167 0.000 0.000
H 5.361 0.000 1.461
H 5.361 -2.028 4.974
H 5.361 2.028 4.974
H 0.974 5.321 0.730
H 0.974 1.265 0.730
H 0.974 3.293 4.243
Os 0.000 0.000 0.000